# Zr3Cd2In

A relaxed Zr3Cd2In crystal (GGA-PBE, Alexandria).

Properties
Space-group type ... No. 71
N(E_F) ... 0.88 states/eV per atom
Energy above the lowest structure with this stoichiometry ... 431 meV/atom
Size of the total moment ... 0.0 μB/f.u.
Energy of formation ... 0.250 eV/atom
E ... -0.35176 Ry/atom

Lattice parameters (Å, degrees): 9.235 9.235 9.235 161.93 144.29 40.30
Positions (direct):
Zr 0.000 0.000 0.000
Zr 0.328 0.828 0.500
Zr 0.672 0.172 0.500
Cd 0.158 0.658 0.500
Cd 0.842 0.342 0.500
In 0.500 0.000 0.500



# ZrCd2In

A relaxed ZrCd2In crystal (GGA-PBE, Alexandria).

Properties
Space-group type ... No. 139
N(E_F) ... 0.59 states/eV per atom
Size of the total moment ... 0.0 μB/f.u.
Energy of formation ... -0.067 eV/atom
E ... -0.24592 Ry/atom

Lattice parameters (Å, degrees): 5.679 5.679 5.679 135.28 135.28 65.10
Positions (direct):
Zr 0.000 0.000 0.000
Cd 0.250 0.750 0.500
Cd 0.750 0.250 0.500
In 0.500 0.500 0.000



# Zr6Cd2In

A relaxed Zr6Cd2In crystal (GGA-PBE, Alexandria).

Properties
Space-group type ... No. 71
N(E_F) ... 1.21 states/eV per atom
Size of the total moment ... 0.0 μB/f.u.
Energy of formation ... 0.369 eV/atom
E ... -0.42907 Ry/atom

Lattice parameters (Å, degrees): 8.239 8.239 8.239 143.19 138.91 56.34
Positions (direct):
Zr 0.054 0.806 0.248
Zr 0.249 0.000 0.249
Zr 0.441 0.194 0.248
Zr 0.559 0.806 0.752
Zr 0.751 0.000 0.751
Zr 0.946 0.194 0.752
Cd 0.108 0.608 0.500
Cd 0.892 0.392 0.500
In 0.500 0.500 0.000



# Zr3CdIn

A relaxed Zr3CdIn crystal (GGA-PBE, Alexandria).

Properties
Space-group type ... No. 221
N(E_F) ... 1.32 states/eV per atom
Energy above the lowest structure with this stoichiometry ... 896 meV/atom
Size of the total moment ... 0.0 μB/f.u.
Energy of formation ... 0.851 eV/atom
E ... -0.36810 Ry/atom

Lattice parameters (Å, degrees): 5.223 5.223 5.223 90.00 90.00 90.00
Positions (direct):
Zr 0.000 0.000 0.500
Zr 0.000 0.500 0.000
Zr 0.500 0.000 0.000
Cd 0.000 0.000 0.000
In 0.500 0.500 0.500



# ZrCd2In

A relaxed ZrCd2In crystal (GGA-PBE, Alexandria).

Properties
Space-group type ... No. 119
N(E_F) ... 0.83 states/eV per atom
Size of the total moment ... 0.0 μB/f.u.
Energy of formation ... -0.011 eV/atom
E ... -0.24179 Ry/atom

Lattice parameters (Å, degrees): 5.583 5.583 5.583 133.63 133.63 67.66
Positions (direct):
Zr 0.000 0.000 0.000
Cd 0.250 0.750 0.500
Cd 0.500 0.500 0.000
In 0.750 0.250 0.500



# Zr2CdIn

A relaxed Zr2CdIn crystal (GGA-PBE, Alexandria).

Properties
Space-group type ... No. 122
N(E_F) ... 0.83 states/eV per atom
Size of the total moment ... 0.0 μB/f.u.
Energy of formation ... 0.173 eV/atom
E ... -0.36858 Ry/atom

Lattice parameters (Å, degrees): 6.401 6.401 6.401 102.11 102.11 125.49
Positions (direct):
Zr 0.123 0.625 0.998
Zr 0.375 0.373 0.498
Zr 0.627 0.125 0.002
Zr 0.875 0.877 0.502
Cd 0.000 0.000 0.000
Cd 0.750 0.250 0.500
In 0.250 0.750 0.500
In 0.500 0.500 0.000



# Zr2CdIn

A relaxed Zr2CdIn crystal (GGA-PBE, Alexandria).

Properties
Space-group type ... No. 123
N(E_F) ... 1.03 states/eV per atom
Size of the total moment ... 0.0 μB/f.u.
Energy of formation ... -0.220 eV/atom
E ... -0.39745 Ry/atom

Lattice parameters (Å, degrees): 3.163 3.163 8.757 90.00 90.00 90.00
Positions (direct):
Zr 0.000 0.000 0.250
Zr 0.000 0.000 0.750
Cd 0.500 0.500 0.000
In 0.500 0.500 0.500



# Zr2CdIn

A relaxed Zr2CdIn crystal (GGA-PBE, Alexandria).

Properties
Space-group type ... No. 119
N(E_F) ... 0.95 states/eV per atom
Size of the total moment ... 0.0 μB/f.u.
Energy of formation ... -0.144 eV/atom
E ... -0.39183 Ry/atom

Lattice parameters (Å, degrees): 5.700 5.700 5.700 135.69 135.69 64.46
Positions (direct):
Zr 0.000 0.000 0.000
Zr 0.750 0.250 0.500
Cd 0.250 0.750 0.500
In 0.500 0.500 0.000



# Zr15Cd2In2

A relaxed Zr15Cd2In2 crystal (GGA-PBE, Alexandria).

Properties
Space-group type ... No. 166
N(E_F) ... 1.17 states/eV per atom
Size of the total moment ... 0.0 μB/f.u.
Energy of formation ... 0.289 eV/atom
E ... -0.50305 Ry/atom

Lattice parameters (Å, degrees): 7.823 7.823 7.823 78.52 78.52 78.52
Positions (direct):
Zr 0.000 0.000 0.500
Zr 0.000 0.306 0.694
Zr 0.000 0.500 0.000
Zr 0.000 0.694 0.306
Zr 0.164 0.624 0.624
Zr 0.306 0.000 0.694
Zr 0.306 0.694 0.000
Zr 0.376 0.376 0.836
Zr 0.376 0.836 0.376
Zr 0.500 0.000 0.000
Zr 0.624 0.164 0.624
Zr 0.624 0.624 0.164
Zr 0.694 0.000 0.306
Zr 0.694 0.306 0.000
Zr 0.836 0.376 0.376
Cd 0.093 0.093 0.093
Cd 0.907 0.907 0.907
In 0.302 0.302 0.302
In 0.698 0.698 0.698



# Zr2CdIn

A relaxed Zr2CdIn crystal (GGA-PBE, Alexandria).

Properties
Space-group type ... No. 12
N(E_F) ... 0.62 states/eV per atom
Size of the total moment ... 0.0 μB/f.u.
Energy of formation ... -0.089 eV/atom
E ... -0.38785 Ry/atom

Lattice parameters (Å, degrees): 5.569 5.569 5.420 100.57 100.57 33.27
Positions (direct):
Zr 0.250 0.250 0.247
Zr 0.750 0.750 0.753
Cd 0.000 0.000 0.500
In 0.500 0.500 0.000



# ZrCd4In

A relaxed ZrCd4In crystal (GGA-PBE, Alexandria).

Properties
Space-group type ... No. 216
N(E_F) ... 0.88 states/eV per atom
Size of the total moment ... 0.9 μB/f.u.
Energy of formation ... 0.163 eV/atom
E ... -0.17112 Ry/atom

Lattice parameters (Å, degrees): 5.806 5.806 5.806 60.00 60.00 60.00
Positions (direct):
Zr 0.000 0.000 0.000
Cd 0.123 0.626 0.626
Cd 0.626 0.123 0.626
Cd 0.626 0.626 0.123
Cd 0.626 0.626 0.626
In 0.250 0.250 0.250



# Zr5Cd2In2

A relaxed Zr5Cd2In2 crystal (GGA-PBE, Alexandria).

Properties
Space-group type ... No. 64
N(E_F) ... 1.39 states/eV per atom
Size of the total moment ... 0.0 μB/f.u.
Energy of formation ... -0.003 eV/atom
E ... -0.40891 Ry/atom

Lattice parameters (Å, degrees): 8.270 8.270 7.601 90.00 90.00 54.49
Positions (direct):
Zr 0.000 0.000 0.000
Zr 0.049 0.679 0.677
Zr 0.179 0.549 0.177
Zr 0.321 0.951 0.677
Zr 0.451 0.821 0.177
Zr 0.500 0.500 0.500
Zr 0.549 0.179 0.823
Zr 0.679 0.049 0.323
Zr 0.821 0.451 0.823
Zr 0.951 0.321 0.323
Cd 0.214 0.214 0.000
Cd 0.286 0.286 0.500
Cd 0.714 0.714 0.500
Cd 0.786 0.786 0.000
In 0.125 0.875 0.371
In 0.375 0.625 0.871
In 0.625 0.375 0.129
In 0.875 0.125 0.629



Question: Among the records above, which one has the highest energy of formation?
Answer: Zr3CdIn



Question: What is the energy of formation in the second record?
Answer: -0.067 eV/atom



Question: Which value of N(E_F) does entry 3 give?
Answer: 1.21 states/eV per atom